# Pa2AsOs, relaxed, DFT PBE
data_Pa2AsOs
_chemical_formula_sum 'Pa6 As3 Os3'
_symmetry_space_group_name_H-M 'R -3 m'
_symmetry_Int_Tables_number 166
_symmetry_space_group_name_Hall '-R 3 2"'
_cell_length_a 3.9545
_cell_length_b 3.9545
_cell_length_c 21.0103
_cell_angle_alpha 90.00
_cell_angle_beta 90.00
_cell_angle_gamma 120.00
loop_
_atom_site_label
_atom_site_fract_x
_atom_site_fract_y
_atom_site_fract_z
Pa1 0.0000 0.0000 0.2424
As1 0.0000 0.0000 0.0000
Os1 0.0000 0.0000 0.5000
# * VASP energy: -9.3785 eV/atom
# * E_form: -2.64 eV per formula unit

***

# PaAsOs, relaxed, DFT PBE
data_PaAsOs
_chemical_formula_sum 'Pa2 As2 Os2'
_symmetry_space_group_name_H-M 'I 4 m m'
_symmetry_Int_Tables_number 107
_symmetry_space_group_name_Hall 'I 4 -2'
_cell_length_a 3.273
_cell_length_b 3.273
_cell_length_c 10.590
_cell_angle_alpha 90.00
_cell_angle_beta 90.00
_cell_angle_gamma 90.00
loop_
_atom_site_label
_atom_site_fract_x
_atom_site_fract_y
_atom_site_fract_z
Pa1 0.000 0.000 0.000
As1 0.000 0.000 0.299
Os1 0.000 0.000 0.674
# * VASP energy: -8.6200 eV/atom
# * E_form: -0.48 eV per formula unit

***

- Look up the VASP energy of the first one.
  -9.3785 eV/atom